[1]
First-principles (PBE) data for Ac6AsP2Br3 after structural relaxation, as listed in Alexandria.

Cell: 4.4728 9.1296 10.1660 Å, 104.50 102.71 90.00°
Closest atoms and distances in Å follow each position.
Element x y z (fractional)
Br 0.8353 0.1683 0.6707  6 Ac 3.36-3.40
Br 0.5000 0.5000 0.0000  6 Ac 3.34-3.38
Br 0.1647 0.8317 0.3293  6 Ac 3.36-3.40
Ac 0.3245 0.4398 0.6490  3 P 3.00-3.02
Ac 0.3389 0.8904 0.6778  2 P 3.01, 1 As 3.09, 1 Br 3.36
Ac 0.0113 0.2359 0.0226  1 P 3.01, 2 As 3.07, 2 Br 3.34
Ac 0.6611 0.1096 0.3222  2 P 3.01, 1 As 3.09, 1 Br 3.36
Ac 0.6755 0.5602 0.3510  3 P 3.00-3.02
Ac 0.9887 0.7641 0.9774  1 P 3.01, 2 As 3.07, 2 Br 3.34
As 0.5000 0.0000 0.0000  6 Ac 3.07-3.09
P 0.1681 0.3343 0.3361  6 Ac 3.00-3.02
P 0.8319 0.6657 0.6639  6 Ac 3.00-3.02

Results
uncorrected formation energy: -1.445 eV/atom
crystal system: monoclinic
total magnetic moment: 0.000 μB/cell
D(E_F): 4.41 states/eV/f.u.
final energy: -5.21 eV/atom

[2]
First-principles (PBE) data for InCo2Tc after structural relaxation, as listed in Alexandria.

Cell: 3.9312 3.9312 8.6313 Å, 76.84 76.84 90.00°
Closest atoms and distances in Å follow each position.
Element x y z (fractional)
In 0.0000 0.0000 0.0000  4 Co 2.56, 4 Tc 2.78
In 0.7500 0.2500 0.5000  4 Co 2.56, 4 Tc 2.78
Co 0.1775 0.6250 0.2500  2 Tc 2.40, 2 Co 2.50, 2 In 2.56
Co 0.5725 0.1250 0.2500  2 Tc 2.40, 2 Co 2.50, 2 In 2.56
Co 0.8750 0.8225 0.7500  2 Tc 2.40, 2 Co 2.50, 2 In 2.56
Co 0.3750 0.4275 0.7500  2 Tc 2.40, 2 Co 2.50, 2 In 2.56
Tc 0.5000 0.5000 0.0000  4 Co 2.40
Tc 0.2500 0.7500 0.5000  4 Co 2.40

Results
crystal system: tetragonal
total magnetic moment: 0.000 μB/cell
D(E_F): 3.25 states/eV/f.u.
ΔE_f: 0.743 eV per atom
final energy: -6.09 eV/atom

[3]
First-principles (PBE) data for TlInHgSb after structural relaxation, as listed in Alexandria.

Cell: 5.4636 5.4636 5.4636 Å, 60.00 60.00 60.00°
Closest atoms and distances in Å follow each position.
Element x y z (fractional)
In 0.5000 0.5000 0.5000  4 Hg 3.35, 4 Sb 3.35
Sb 0.7500 0.7500 0.7500  4 Tl 3.35, 4 In 3.35
Tl 0.0000 0.0000 0.0000  4 Hg 3.35, 4 Sb 3.35
Hg 0.2500 0.2500 0.2500  4 Tl 3.35, 4 In 3.35

Results
uncorrected formation energy: 0.006 eV/atom
crystal system: cubic
total magnetic moment: 0.000 μB/cell
D(E_F): 1.92 states/eV/f.u.
final energy: -2.38 eV/atom

[4]
First-principles (PBE) data for CaTlGe2N after structural relaxation, as listed in Alexandria.

Cell: 5.5370 4.2117 5.5370 Å, 90.00 90.00 90.00°
Closest atoms and distances in Å follow each position.
Element x y z (fractional)
N 0.0000 0.5000 0.0000  2 Tl 2.11
Ge 0.0000 0.0000 0.5000  2 Tl 2.77
Ge 0.5000 0.0000 0.0000  2 Tl 2.77
Tl 0.0000 0.0000 0.0000  2 N 2.11
Ca 0.5000 0.5000 0.5000  8 Ge 3.48

Results
uncorrected formation energy: 0.976 eV/atom
crystal system: tetragonal
total magnetic moment: 0.000 μB/cell
D(E_F): 3.00 states/eV/f.u.
final energy: -3.41 eV/atom

[5]
First-principles (PBE) data for Na2GaHgBi2 after structural relaxation, as listed in Alexandria.

Cell: 7.0118 7.0766 8.8306 Å, 113.62 113.39 90.00°
Closest atoms and distances in Å follow each position.
Element x y z (fractional)
Bi 0.3996 0.6186 0.2372  2 Ga 2.91, 2 Hg 3.16
Bi 0.6004 0.3814 0.7628  2 Ga 2.91, 2 Hg 3.16
Bi 0.1624 0.8814 0.7628  2 Ga 2.91, 2 Hg 3.16
Bi 0.8376 0.1186 0.2372  2 Ga 2.91, 2 Hg 3.16
Na 0.6229 0.8451 0.6902  2 Hg 3.27, 5 Bi 3.30-3.60, 2 Ga 3.47
Na 0.3771 0.1549 0.3098  2 Hg 3.27, 5 Bi 3.30-3.60, 2 Ga 3.47
Na 0.9328 0.6549 0.3098  2 Hg 3.27, 5 Bi 3.30-3.60, 2 Ga 3.47
Na 0.0672 0.3451 0.6902  2 Hg 3.27, 5 Bi 3.30-3.60, 2 Ga 3.47
Hg 0.0000 0.2500 0.0000  4 Bi 3.16, 4 Na 3.27, 2 Ga 3.51, 2 Hg 3.54
Hg 0.0000 0.7500 0.0000  4 Bi 3.16, 4 Na 3.27, 2 Ga 3.51, 2 Hg 3.54
Ga 0.5000 0.7500 0.0000  4 Bi 2.91
Ga 0.5000 0.2500 0.0000  4 Bi 2.91

Results
crystal system: orthorhombic
total magnetic moment: 0.000 μB/cell
D(E_F): 0.85 states/eV/f.u.
ΔE_f: -0.186 eV per atom
final energy: -2.47 eV/atom

[6]
First-principles (PBE) data for In2CoSb after structural relaxation, as listed in Alexandria.

Cell: 9.1384 9.1384 9.1384 Å, 21.18 21.18 21.18°
Closest atoms and distances in Å follow each position.
Element x y z (fractional)
In 0.0160 0.0160 0.0160  3 Co 2.65
In 0.4840 0.4840 0.4840  3 Co 2.65
Co 0.7500 0.7500 0.7500  6 In 2.65
Sb 0.2500 0.2500 0.2500  6 In 3.29, 6 Sb 3.36

Results
uncorrected formation energy: 0.259 eV/atom
crystal system: trigonal
total magnetic moment: 0.801 μB/cell
D(E_F): 2.91 states/eV/f.u.
final energy: -3.92 eV/atom

[7]
First-principles (PBE) data for Sm15Ho4Th after structural relaxation, as listed in Alexandria.

Cell: 5.1053 5.1053 25.4779 Å, 90.00 90.00 90.00°
Closest atoms and distances in Å follow each position.
Element x y z (fractional)
Sm 0.5000 0.0000 0.5000  8 Sm 3.60-3.61, 4 Ho 3.61
Sm 0.5000 0.5000 0.7982  8 Sm 3.57-3.65, 4 Ho 3.61
Sm 0.0000 0.5000 0.9008  8 Sm 3.59-3.65, 2 Th 3.59, 2 Ho 3.63
Sm 0.0000 0.5000 0.0992  8 Sm 3.59-3.65, 2 Th 3.59, 2 Ho 3.63
Sm 0.5000 0.0000 0.3000  8 Sm 3.57-3.61, 4 Ho 3.60-3.61
Sm 0.5000 0.5000 0.0000  8 Sm 3.59, 4 Th 3.61
Sm 0.5000 0.5000 0.2018  8 Sm 3.57-3.65, 4 Ho 3.61
Sm 0.5000 0.0000 0.7000  8 Sm 3.57-3.61, 4 Ho 3.60-3.61
Sm 0.0000 0.5000 0.7000  8 Sm 3.57-3.61, 4 Ho 3.60-3.61
Sm 0.0000 0.5000 0.5000  8 Sm 3.60-3.61, 4 Ho 3.61
Sm 0.5000 0.0000 0.0992  2 Th 3.59, 8 Sm 3.59-3.65, 2 Ho 3.63
Sm 0.5000 0.5000 0.5997  8 Sm 3.60-3.61, 4 Ho 3.61
Sm 0.5000 0.0000 0.9008  2 Th 3.59, 8 Sm 3.59-3.65, 2 Ho 3.63
Sm 0.0000 0.5000 0.3000  8 Sm 3.57-3.61, 4 Ho 3.60-3.61
Sm 0.5000 0.5000 0.4003  8 Sm 3.60-3.61, 4 Ho 3.61
Ho 0.0000 0.0000 0.4001  12 Sm 3.61
Ho 0.0000 0.0000 0.5999  12 Sm 3.61
Ho 0.0000 0.0000 0.7996  12 Sm 3.60-3.63
Ho 0.0000 0.0000 0.2004  12 Sm 3.60-3.63
Th 0.0000 0.0000 0.0000  12 Sm 3.59-3.61

Results
crystal system: tetragonal
total magnetic moment: 0.000 μB/cell
D(E_F): 28.03 states/eV/f.u.
ΔE_f: 0.025 eV per atom
final energy: -4.80 eV/atom

[8]
First-principles (PBE) data for Ce5PaN8 after structural relaxation, as listed in Alexandria.

Cell: 6.4341 6.4341 6.4341 Å, 109.80 108.81 109.80°
Closest atoms and distances in Å follow each position.
Element x y z (fractional)
N 0.2392 0.2598 0.3899  1 Pa 2.27, 2 Ce 2.39-2.41
N 0.6192 0.3629 0.8749  3 Ce 2.33-2.40
N 0.6101 0.8493 0.8699  1 Pa 2.27, 2 Ce 2.39-2.41
N 0.0206 0.1507 0.7608  1 Pa 2.27, 2 Ce 2.39-2.41
N 0.5120 0.6371 0.2563  3 Ce 2.33-2.40
N 0.1251 0.7442 0.4880  3 Ce 2.33-2.40
N 0.1301 0.7402 0.9794  1 Pa 2.27, 2 Ce 2.39-2.41
N 0.7437 0.2558 0.3808  3 Ce 2.33-2.40
Pa 0.2500 0.5000 0.7500  4 N 2.27
Ce 0.7508 0.6254 0.6210  4 N 2.33-2.41
Ce 0.5000 0.0000 0.5000  4 N 2.37
Ce 0.8746 0.8701 0.2492  4 N 2.33-2.41
Ce 0.9956 0.3746 0.1254  4 N 2.33-2.41
Ce 0.3790 0.1299 0.0044  4 N 2.33-2.41

Results
uncorrected formation energy: -1.360 eV/atom
crystal system: tetragonal
total magnetic moment: 1.391 μB/cell
D(E_F): 10.26 states/eV/f.u.
final energy: -8.91 eV/atom

[9]
First-principles (PBE) data for TeBrCl2 after structural relaxation, as listed in Alexandria.

Cell: 3.1990 4.9565 8.6428 Å, 90.00 90.00 90.00°
Closest atoms and distances in Å follow each position.
Element x y z (fractional)
Cl 0.5000 0.5000 0.3338  4 Te 2.95, 2 Cl 3.20
Cl 0.0000 0.0000 0.0718  1 Te 2.29
Te 0.0000 0.0000 0.3365  1 Cl 2.29
Br 0.5000 0.5000 0.7579  2 Br 3.20

Results
uncorrected formation energy: -0.026 eV/atom
crystal system: orthorhombic
total magnetic moment: 0.001 μB/cell
D(E_F): 4.34 states/eV/f.u.
final energy: -2.15 eV/atom

[10]
First-principles (PBE) data for Pm4TmSc3S8 after structural relaxation, as listed in Alexandria.

Cell: 7.6824 7.8606 7.6825 Å, 119.25 120.00 90.00°
Closest atoms and distances in Å follow each position.
Element x y z (fractional)
S 0.2636 0.2755 0.0196  2 Sc 2.64, 1 Tm 2.68, 3 Pm 2.82-2.86
S 0.7404 0.7212 0.4808  3 Sc 2.64, 3 Pm 2.86
S 0.2440 0.7245 0.4881  2 Sc 2.64, 1 Tm 2.68, 3 Pm 2.82-2.86
S 0.2596 0.2788 0.5192  3 Sc 2.64, 3 Pm 2.86
S 0.7560 0.2755 0.5119  2 Sc 2.64, 1 Tm 2.68, 3 Pm 2.82-2.86
S 0.2440 0.7245 0.9804  2 Sc 2.64, 1 Tm 2.68, 3 Pm 2.82-2.86
S 0.7364 0.7245 0.9804  2 Sc 2.64, 1 Tm 2.68, 3 Pm 2.82-2.86
S 0.7560 0.2755 0.0196  2 Sc 2.64, 1 Tm 2.68, 3 Pm 2.82-2.86
Pm 0.5000 0.0000 0.0000  6 S 2.82
Pm 0.5000 0.0000 0.5000  6 S 2.86
Pm 0.0000 0.0000 0.5000  6 S 2.86
Pm 0.0000 0.0000 0.0000  6 S 2.86
Sc 0.5000 0.5000 0.5000  6 S 2.64
Sc 0.5000 0.5000 0.0000  6 S 2.64
Sc 0.0000 0.5000 0.5000  6 S 2.64
Tm 0.0000 0.5000 0.0000  6 S 2.68

Results
uncorrected formation energy: -1.943 eV/atom
crystal system: trigonal
total magnetic moment: 0.000 μB/cell
D(E_F): 8.47 states/eV/f.u.
final energy: -6.66 eV/atom

[11]
First-principles (PBE) data for Sc2NiIr after structural relaxation, as listed in Alexandria.

Cell: 4.4899 4.4899 4.4899 Å, 60.00 60.00 60.00°
Closest atoms and distances in Å follow each position.
Element x y z (fractional)
Sc 0.2500 0.2500 0.2500  4 Sc 2.75, 4 Ir 2.75
Sc 0.0000 0.0000 0.0000  4 Ni 2.75, 4 Sc 2.75
Ir 0.5000 0.5000 0.5000  4 Sc 2.75, 4 Ni 2.75
Ni 0.7500 0.7500 0.7500  4 Ir 2.75, 4 Sc 2.75

Results
crystal system: cubic
total magnetic moment: 0.000 μB/cell
D(E_F): 4.64 states/eV/f.u.
ΔE_f: -0.392 eV per atom
final energy: -7.22 eV/atom

[12]
First-principles (PBE) data for Sc2Ti2Ag after structural relaxation, as listed in Alexandria.

Cell: 6.8464 6.8464 4.4406 Å, 90.00 90.00 90.00°
Closest atoms and distances in Å follow each position.
Element x y z (fractional)
Ti 0.8675 0.6325 0.0000  1 Ti 2.57, 2 Ag 2.67
Ti 0.3675 0.8675 0.0000  1 Ti 2.57, 2 Ag 2.67
Ti 0.1325 0.3675 0.0000  1 Ti 2.57, 2 Ag 2.67
Ti 0.6325 0.1325 0.0000  1 Ti 2.57, 2 Ag 2.67
Ag 0.0000 0.0000 0.0000  4 Ti 2.67
Ag 0.5000 0.5000 0.0000  4 Ti 2.67
Sc 0.8388 0.3388 0.5000  6 Ti 2.99-3.00, 1 Sc 3.12
Sc 0.6612 0.8388 0.5000  6 Ti 2.99-3.00, 1 Sc 3.12
Sc 0.3388 0.1612 0.5000  6 Ti 2.99-3.00, 1 Sc 3.12
Sc 0.1612 0.6612 0.5000  6 Ti 2.99-3.00, 1 Sc 3.12

Results
crystal system: tetragonal
total magnetic moment: 1.576 μB/cell
D(E_F): 3.84 states/eV/f.u.
ΔE_f: 0.187 eV per atom
final energy: -6.07 eV/atom